No. 1
Here is a PBEsol-optimized structure of CuIr2Pd from Alexandria. Energies are from SCAN.

Cell: 6.0186 6.0186 6.0186 Å, 90.00 90.00 90.00°
Space group Fm-3m (No. 225)
One atom of each set of equivalent atoms:
Cu 0.0000 0.0000 0.0000
Ir 0.2500 0.2500 0.2500
Pd 0.0000 0.0000 0.5000

DFT total energy ... -47.117 eV per atom

=====

No. 2
Here is a PBEsol-optimized structure of AgPd2PtI from Alexandria. Energies are from SCAN.

Cell: 4.8191 4.8191 4.8651 Å, 90.00 90.00 90.00°
Space group P4/mmm (No. 123)
One atom of each set of equivalent atoms:
Ag 0.0000 0.0000 0.0000
Pd 0.0000 0.5000 0.0000
Pt 0.0000 0.0000 0.5000
I 0.5000 0.5000 0.5000

Formation energy without anion corrections ... 1.15 eV/atom
DFT total energy ... -39.619 eV per atom

=====

No. 3
Here is a PBEsol-optimized structure of Li2Sc2Cu from Alexandria. Energies are from SCAN.

Cell: 3.3216 3.3216 16.9374 Å, 90.00 90.00 90.00°
Space group I4/mmm (No. 139)
One atom of each set of equivalent atoms:
Li 0.0000 0.5000 0.2500
Sc 0.0000 0.0000 0.0889
Cu 0.0000 0.0000 0.5000

DFT total energy ... -9.588 eV per atom

=====

No. 4
Here is a PBEsol-optimized structure of MgMnAu2 from Alexandria. Energies are from SCAN.

Cell: 3.9381 3.9381 8.3423 Å, 90.00 90.00 90.00°
Space group I-4m2 (No. 119)
One atom of each set of equivalent atoms:
Mg 0.0000 0.0000 0.0000
Mn 0.0000 0.5000 0.2500
Au 0.0000 0.0000 0.5000
Au 0.0000 0.5000 0.7500

DFT total energy ... -40.952 eV per atom

=====

No. 5
Here is a PBEsol-optimized structure of InRhBr2 from Alexandria. Energies are from SCAN.

Cell: 3.9604 3.9604 10.9756 Å, 90.00 90.00 90.00°
Space group I-4m2 (No. 119)
One atom of each set of equivalent atoms:
In 0.0000 0.0000 0.0000
Rh 0.0000 0.5000 0.2500
Br 0.0000 0.0000 0.5000
Br 0.0000 0.5000 0.7500

Formation energy without anion corrections ... 0.27 eV/atom
Relative energy among the computed polymorphs ... 569.5 meV per atom
DFT total energy ... -26.252 eV per atom

=====

No. 6
Here is a PBEsol-optimized structure of CaTeMo2 from Alexandria. Energies are from SCAN.

Cell: 9.9647 3.3855 5.1465 Å, 90.00 101.97 90.00°
Space group C2/m (No. 12)
One atom of each set of equivalent atoms:
Ca 0.0000 0.0000 0.0000
Te 0.0000 0.5000 0.5000
Mo 0.2368 0.0000 0.6631

Formation energy without anion corrections ... 0.33 eV/atom
DFT total energy ... -28.846 eV per atom

=====

No. 7
Here is a PBEsol-optimized structure of MgCo2Sn2 from Alexandria. Energies are from SCAN.

Cell: 7.0462 7.0462 3.2129 Å, 90.00 90.00 90.00°
Space group P4/mbm (No. 127)
One atom of each set of equivalent atoms:
Mg 0.0000 0.0000 0.0000
Co 0.1366 0.3634 0.0000
Sn 0.1589 0.6589 0.5000

DFT total energy ... -22.166 eV per atom

=====

No. 8
Here is a PBEsol-optimized structure of ScSbSe2 from Alexandria. Energies are from SCAN.

Cell: 3.8738 5.0850 5.1066 Å, 90.00 112.14 90.00°
Space group Pm (No. 6)
One atom of each set of equivalent atoms:
Sc 0.0000 0.0000 0.0000
Sb 0.6079 0.5000 0.2172
Se 0.2909 0.0000 0.5805
Se 0.9106 0.5000 0.8194

Formation energy without anion corrections ... -0.81 eV/atom
DFT total energy ... -23.727 eV per atom

=====

No. 9
Here is a PBEsol-optimized structure of AlNiMo2 from Alexandria. Energies are from SCAN.

Cell: 3.3423 3.8752 4.2562 Å, 90.00 90.00 90.00°
Space group Pmmm (No. 47)
One atom of each set of equivalent atoms:
Al 0.0000 0.0000 0.0000
Ni 0.5000 0.5000 0.0000
Mo 0.0000 0.5000 0.5000
Mo 0.5000 0.0000 0.5000

DFT total energy ... -23.609 eV per atom

=====

No. 10
Here is a PBEsol-optimized structure of KZr3Ru from Alexandria. Energies are from SCAN.

Cell: 5.0902 5.0902 5.0902 Å, 90.00 90.00 90.00°
Space group Pm-3m (No. 221)
One atom of each set of equivalent atoms:
K 0.0000 0.0000 0.0000
Zr 0.0000 0.5000 0.5000
Ru 0.5000 0.5000 0.5000

DFT total energy ... -26.645 eV per atom

=====

No. 11
Here is a PBEsol-optimized structure of La2MgZn from Alexandria. Energies are from SCAN.

Cell: 3.6995 5.3493 10.7197 Å, 90.00 90.00 90.00°
Space group Imm2 (No. 44)
One atom of each set of equivalent atoms:
La 0.0000 0.0000 0.0000
La 0.0000 0.5000 0.2197
Mg 0.0000 0.5000 0.7846
Zn 0.0000 0.0000 0.4733

Relative energy among the computed polymorphs ... 29.9 meV per atom
DFT total energy ... -26.404 eV per atom

=====

No. 12
Here is a PBEsol-optimized structure of Fe3Co4 from Alexandria. Energies are from SCAN.

Cell: 2.7795 2.7795 19.6040 Å, 90.00 90.00 90.00°
Space group I4mm (No. 107)
One atom of each set of equivalent atoms:
Fe 0.0000 0.0000 0.0000
Fe 0.0000 0.0000 0.1438
Fe 0.0000 0.0000 0.7168
Co 0.0000 0.0000 0.2871
Co 0.0000 0.0000 0.4309
Co 0.0000 0.0000 0.5719
Co 0.0000 0.0000 0.8585

Relative energy among the computed polymorphs ... 67.3 meV per atom
DFT total energy ... -17.795 eV per atom